A geometry-optimized Sc2InFeH structure, computed with PBE.

Cell: 4.6607 4.6607 3.5888 Å, 90.00 90.00 90.00°
Fractional coordinates of all 5 atoms:
Sc1 0.0000 0.5000 0.0000
Sc2 0.5000 0.0000 0.0000
In1 0.0000 0.0000 0.5000
Fe1 0.5000 0.5000 0.5000
H1 0.5000 0.5000 0.0000

Output
The calculation puts the calculated total energy at -5.7461 eV per atom. Its symmetry is No. 123. As for the crystal system: tetragonal.